# 1
SrAcPuN3 | Alexandria via LeMat-Bulk | PBE-GGA | relaxed; total magnetization = 1.07 μB/f.u.; density = 7.729 Mg/m³; crystal system = monoclinic; formation energy without anion corrections = -0.7011 eV per atom
1.0
3.791 0.000 0.000
0.000 7.881 1.054
0.000 -1.964 8.376
N Ac Pu Sr
6 2 2 2
direct
0.750 0.906 0.185
0.750 0.195 0.561
0.750 0.388 0.110
0.250 0.094 0.815
0.250 0.805 0.439
0.250 0.612 0.890
0.750 0.398 0.824
0.250 0.602 0.176
0.250 0.050 0.584
0.750 0.950 0.416
0.750 0.842 0.868
0.250 0.158 0.132

---

# 2
Sr2AcPu3N8 | Alexandria via LeMat-Bulk | PBE-GGA | relaxed; total magnetization = 7.00 μB/f.u.; density = 8.343 Mg/m³; crystal system = trigonal; formation energy without anion corrections = -0.9482 eV per atom
1.0
-3.704 -5.922 0.015
-1.003 -3.508 -5.957
3.339 -6.211 -1.000
Pu Sr N Ac
3 2 8 1
direct
0.499 0.499 0.000
0.001 0.499 0.000
0.499 0.001 0.000
0.499 0.499 0.503
0.117 0.117 0.648
0.749 0.316 0.185
0.248 0.679 0.825
0.730 0.730 0.809
0.679 0.248 0.825
0.316 0.749 0.185
0.248 0.248 0.825
0.271 0.271 0.187
0.749 0.749 0.185
0.885 0.885 0.344

---

# 3
AcPu2TaN4 | Alexandria via LeMat-Bulk | PBE-GGA | relaxed; total magnetization = 10.64 μB/f.u.; density = 11.959 Mg/m³; crystal system = orthorhombic; formation energy without anion corrections = -1.0688 eV per atom
1.0
3.488 0.000 0.000
-1.744 6.195 0.000
0.000 0.000 12.234
N Ta Pu Ac
8 2 4 2
direct
0.262 0.524 0.378
0.426 0.853 0.750
0.738 0.476 0.878
0.574 0.147 0.250
0.000 0.000 0.000
0.262 0.524 0.122
0.738 0.476 0.622
0.000 0.000 0.500
0.167 0.334 0.250
0.833 0.666 0.750
0.371 0.742 0.965
0.629 0.258 0.035
0.629 0.258 0.465
0.371 0.742 0.535
0.906 0.812 0.250
0.094 0.188 0.750

---

# 4
Ac2TbPuN5 | Alexandria via LeMat-Bulk | PBE-GGA | relaxed; total magnetization = 2.00 μB/f.u.; density = 9.966 Mg/m³; crystal system = orthorhombic; formation energy without anion corrections = -1.0614 eV per atom
1.0
-1.128 -2.317 2.676
-0.447 -4.065 -6.286
10.788 -3.513 1.505
N Tb Pu Ac
10 2 2 4
direct
0.391 0.781 0.006
0.941 0.882 0.551
0.609 0.219 0.506
0.510 0.021 0.283
0.490 0.979 0.783
0.666 0.332 0.894
0.059 0.118 0.051
0.727 0.454 0.157
0.273 0.546 0.657
0.334 0.668 0.394
0.225 0.449 0.010
0.775 0.551 0.510
0.469 0.938 0.459
0.531 0.062 0.959
0.142 0.284 0.277
0.897 0.794 0.188
0.858 0.716 0.777
0.103 0.206 0.688